RbZnICl2 | PBE-GGA | relaxed

Summary:
Raw formation energy ... -1167 meV/atom
Energy above the most stable polymorph in this dataset ... 144.7 meV/atom
Space group ... P4/mmm (123)

Lattice parameters (Å, degrees): 5.097 5.097 5.681 90.00 90.00 90.00
Positions (direct):
I: 0.000 0.000 0.500
Cl: 0.500 0.000 0.000
Cl: 0.000 0.500 0.000
Zn: 0.000 0.000 0.000
Rb: 0.500 0.500 0.500



Cs5AuO | PBE-GGA | relaxed

Summary:
Raw formation energy ... -522 meV/atom
Energy above the most stable polymorph in this dataset ... 0.0 meV/atom
Space group ... Pnma (62)

Lattice parameters (Å, degrees): 11.682 13.235 13.675 90.00 90.00 90.00
Positions (direct):
Au: 0.750 0.241 0.372
O: 0.250 0.368 0.879
Cs: 0.250 0.847 0.881
Cs: 0.750 0.985 0.781
Cs: 0.750 0.529 0.954
Au: 0.250 0.759 0.628
Cs: 0.432 0.257 0.374
Cs: 0.750 0.971 0.454
Cs: 0.750 0.153 0.119
O: 0.250 0.132 0.379
Cs: 0.250 0.653 0.381
Cs: 0.750 0.515 0.281
Au: 0.750 0.259 0.872
Cs: 0.250 0.485 0.719
Cs: 0.250 0.029 0.546
Cs: 0.068 0.257 0.374
O: 0.750 0.868 0.621
O: 0.750 0.632 0.121
Cs: 0.750 0.347 0.619
Cs: 0.250 0.015 0.219
Cs: 0.568 0.743 0.626
Cs: 0.932 0.757 0.126
Cs: 0.432 0.243 0.874
Cs: 0.068 0.243 0.874
Cs: 0.568 0.757 0.126
Cs: 0.932 0.743 0.626
Cs: 0.250 0.471 0.046
Au: 0.250 0.741 0.128



MgTlReAg2 | PBE-GGA | relaxed

Summary:
E_form ... 7.40 eV/f.u.
Space group ... P4/mmm (123)

Lattice parameters (Å, degrees): 5.159 5.238 5.159 90.00 90.00 90.00
Last column: magnetic moment on the atom in μB.
Positions (direct):
Re: 0.000 0.500 0.000  2.33
Ag: 0.000 0.000 0.500  -0.02
Mg: 0.500 0.500 0.500  -0.04
Tl: 0.000 0.000 0.000  -0.04
Ag: 0.500 0.000 0.000  -0.01



CsSbTe2F | PBE-GGA | relaxed

Summary:
Raw formation energy ... -402 meV/atom
Energy above the most stable polymorph in this dataset ... 0.0 meV/atom
Space group ... P4/mmm (123)

Lattice parameters (Å, degrees): 5.907 5.907 4.528 90.00 90.00 90.00
Positions (direct):
Te: 0.000 0.500 0.000
Cs: 0.500 0.500 0.500
F: 0.000 0.000 0.000
Te: 0.500 0.000 0.000
Sb: 0.000 0.000 0.500



AcCeSiO6 | PBE-GGA | relaxed

Summary:
Raw formation energy ... -2784 meV/atom
Space group ... P312 (149)

Lattice parameters (Å, degrees): 5.413 5.413 5.252 90.00 90.00 60.00
Last column: magnetic moment on the atom in μB.
Positions (direct):
O: 0.605 0.057 0.300  0.14
O: 0.057 0.605 0.700  0.14
Ce: 0.667 0.667 0.500  0.02
O: 0.605 0.338 0.700  0.14
Si: 0.333 0.333 0.500  -0.01
O: 0.338 0.605 0.300  0.14
O: 0.057 0.338 0.300  0.14
O: 0.338 0.057 0.700  0.14
Ac: 0.000 0.000 0.000  0.00



Zn3GaAu6 | PBE-GGA | relaxed

Summary:
E_form ... -1.33 eV/f.u.
Energy above the most stable polymorph in this dataset ... 13.5 meV/atom
Space group ... Cmc2_1 (36)

Lattice parameters (Å, degrees): 6.582 7.899 7.899 117.71 90.00 90.00
Positions (direct):
Ga: 0.518 0.838 0.162
Au: 0.775 0.554 0.096
Au: 0.146 0.778 0.222
Zn: 0.272 0.442 0.558
Au: 0.754 0.001 0.999
Au: 0.619 0.594 0.767
Au: 0.254 0.999 0.001
Au: 0.646 0.222 0.778
Au: 0.619 0.233 0.406
Au: 0.119 0.767 0.594
Ga: 0.018 0.162 0.838
Zn: 0.504 0.865 0.679
Au: 0.275 0.096 0.554
Zn: 0.004 0.135 0.321
Zn: 0.772 0.558 0.442
Au: 0.275 0.446 0.904
Au: 0.119 0.406 0.233
Au: 0.775 0.904 0.446
Zn: 0.504 0.321 0.135
Zn: 0.004 0.679 0.865



Y3TlPb | PBE-GGA | relaxed

Summary:
E_form ... 0.52 eV/f.u.
Energy above the most stable polymorph in this dataset ... 467.1 meV/atom
Space group ... Pm-3m (221)

Lattice parameters (Å, degrees): 5.676 5.676 5.676 90.00 90.00 90.00
Positions (direct):
Tl: 0.000 0.000 0.000
Y: 0.000 0.500 0.000
Y: 0.000 0.000 0.500
Pb: 0.500 0.500 0.500
Y: 0.500 0.000 0.000



CaCe2Pr2Rh5 | PBE-GGA | relaxed

Summary:
E_form ... -4.71 eV/f.u.
Space group ... P4/mbm (127)

Lattice parameters (Å, degrees): 3.600 11.070 11.070 90.00 90.00 90.00
Positions (direct):
Rh: 0.500 0.708 0.451
Pr: 0.000 0.669 0.169
Ce: 0.000 0.640 0.860
Ce: 0.000 0.860 0.360
Ca: 0.000 0.500 0.500
Rh: 0.500 0.049 0.792
Rh: 0.500 0.549 0.708
Rh: 0.500 0.792 0.951
Rh: 0.500 0.208 0.049
Pr: 0.000 0.169 0.331
Pr: 0.000 0.331 0.831
Rh: 0.500 0.451 0.292
Rh: 0.500 0.292 0.549
Ce: 0.000 0.140 0.640
Pr: 0.000 0.831 0.669
Rh: 0.500 0.500 0.000
Rh: 0.500 0.951 0.208
Rh: 0.500 0.000 0.500
Ca: 0.000 0.000 0.000
Ce: 0.000 0.360 0.140



Tl2SnPd | PBE-GGA | relaxed

Summary:
E_form ... 0.90 eV/f.u.
Energy above the most stable polymorph in this dataset ... 131.5 meV/atom
Space group ... R-3m (166)

Lattice parameters (Å, degrees): 3.327 3.327 11.176 81.44 81.44 60.00
Positions (direct):
Tl: 0.919 0.919 0.243
Sn: 0.500 0.500 0.500
Tl: 0.081 0.081 0.757
Pd: 0.000 0.000 0.000



SrLi4In8 | PBE-GGA | relaxed

Summary:
E_form ... -3.62 eV/f.u.
Space group ... I4/mmm (139)

Lattice parameters (Å, degrees): 5.910 7.717 7.717 81.57 67.48 67.48
Positions (direct):
In: 0.722 0.778 0.778
Li: 0.500 0.000 0.500
In: 0.500 0.778 0.222
Li: 0.000 0.000 0.500
Sr: 0.000 0.000 0.000
In: 0.000 0.344 0.656
In: 0.500 0.222 0.778
In: 0.000 0.656 0.344
In: 0.656 0.344 0.344
Li: 0.500 0.500 0.000
In: 0.278 0.222 0.222
Li: 0.000 0.500 0.000
In: 0.344 0.656 0.656



PrSn12Ir6 | PBE-GGA | relaxed

Summary:
E_form ... -2.40 eV/f.u.
Space group ... R-3m (166)

Lattice parameters (Å, degrees): 7.981 7.981 7.981 106.87 106.87 106.87
Positions (direct):
Sn: 0.396 0.141 0.396
Ir: 0.722 0.299 0.722
Ir: 0.701 0.278 0.278
Sn: 0.879 0.121 0.500
Sn: 0.500 0.121 0.879
Sn: 0.396 0.396 0.141
Pr: 0.000 0.000 0.000
Sn: 0.604 0.859 0.604
Sn: 0.604 0.604 0.859
Sn: 0.121 0.879 0.500
Ir: 0.278 0.278 0.701
Sn: 0.879 0.500 0.121
Ir: 0.278 0.701 0.278
Sn: 0.141 0.396 0.396
Sn: 0.859 0.604 0.604
Sn: 0.121 0.500 0.879
Ir: 0.299 0.722 0.722
Sn: 0.500 0.879 0.121
Ir: 0.722 0.722 0.299



Cs2AcBi2O6 | PBE-GGA | relaxed

Summary:
Raw formation energy ... -1647 meV/atom
Space group ... C2/m (12)

Lattice parameters (Å, degrees): 6.751 6.748 9.197 111.14 90.00 120.01
Positions (direct):
O: 0.269 0.067 0.336
Bi: 0.924 0.848 0.777
O: 0.730 0.460 0.662
Cs: 0.222 0.444 0.669
Bi: 0.076 0.152 0.223
O: 0.202 0.933 0.664
Cs: 0.778 0.556 0.331
O: 0.798 0.067 0.336
Ac: 0.500 0.000 0.500
O: 0.270 0.540 0.338
O: 0.731 0.933 0.664



Pr6Sm3Dy2Y | PBE-GGA | relaxed

Summary:
E_form ... 0.13 eV/f.u.
Space group ... C2/m (12)

Lattice parameters (Å, degrees): 6.351 6.351 12.014 95.04 95.04 120.02
Positions (direct):
Dy: 0.667 0.333 0.000
Pr: 0.417 0.083 0.248
Pr: 0.083 0.417 0.248
Sm: 0.167 0.833 0.500
Pr: 0.917 0.583 0.752
Sm: 0.833 0.167 0.500
Pr: 0.749 0.749 0.248
Dy: 0.333 0.667 0.000
Pr: 0.251 0.251 0.752
Y: 0.000 0.000 0.000
Sm: 0.500 0.500 0.500
Pr: 0.583 0.917 0.752



Lu2PuAg | PBE-GGA | relaxed

Summary:
E_form ... -0.27 eV/f.u.
Energy above the most stable polymorph in this dataset ... 0.0 meV/atom
Space group ... P4/mmm (123)

Lattice parameters (Å, degrees): 3.461 3.461 8.559 90.00 90.00 90.00
Last column: magnetic moment on the atom in μB.
Positions (direct):
Lu: 0.000 0.000 0.217  -0.24
Ag: 0.500 0.500 0.000  -0.01
Lu: 0.000 0.000 0.783  -0.24
Pu: 0.500 0.500 0.500  -5.56



EuAgPd | PBE-GGA | relaxed

Summary:
E_form ... -1.24 eV/f.u.
Energy above the most stable polymorph in this dataset ... 0.0 meV/atom
Space group ... P-6m2 (187)

Lattice parameters (Å, degrees): 3.752 4.678 4.678 120.00 90.00 90.00
Last column: magnetic moment on the atom in μB.
Positions (direct):
Pd: 0.167 0.000 0.000  -0.04
Ag: 0.166 0.667 0.333  0.00
Eu: 0.667 0.333 0.667  6.77



Nb2ZnI | PBE-GGA | relaxed

Summary:
Raw formation energy ... 540 meV/atom
Energy above the most stable polymorph in this dataset ... 0.0 meV/atom
Space group ... Fm-3m (225)

Lattice parameters (Å, degrees): 4.713 4.713 4.713 60.00 60.00 60.00
Positions (direct):
Nb: 0.750 0.750 0.750
Zn: 0.000 0.000 0.000
I: 0.500 0.500 0.500
Nb: 0.250 0.250 0.250



Na2AlInHg | PBE-GGA | relaxed

Summary:
E_form ... 1.03 eV/f.u.
Space group ... P4/mmm (123)

Lattice parameters (Å, degrees): 5.946 5.142 5.946 90.00 90.00 90.00
Positions (direct):
Na: 0.000 0.000 0.500
Hg: 0.500 0.500 0.500
In: 0.000 0.500 0.000
Na: 0.500 0.000 0.000
Al: 0.000 0.000 0.000



DFT total energy values (in eV per atom) by entry order: -2.66; -2.31; -2.94; -3.03; -7.81; -2.78; -4.99; -6.49; -3.26; -2.68; -5.70; -5.59; -4.86; -6.62; -6.52; -5.20; -1.68.